An optimized crystal structure of MgFe2P2O10, computed with PBE with a Hubbard U.

Cell and atoms, written as POSCAR:
```
MgFe2P2O10
1.0
0.000 5.674 7.909
3.591 0.000 7.909
3.591 5.674 0.000
Mg Fe P O
2 4 4 20
Direct
0.125 0.125 0.125
0.875 0.875 0.875
0.000 0.500 0.500
0.500 0.000 0.500
0.500 0.500 0.000
0.500 0.500 0.500
0.081 0.081 0.669
0.331 0.331 0.919
0.669 0.669 0.081
0.919 0.919 0.331
0.064 0.213 0.468
0.116 0.428 0.160
0.160 0.797 0.116
0.203 0.840 0.572
0.213 0.064 0.754
0.246 0.532 0.787
0.306 0.306 0.444
0.428 0.116 0.797
0.444 0.444 0.306
0.468 0.754 0.064
0.532 0.246 0.936
0.556 0.556 0.694
0.572 0.884 0.203
0.694 0.694 0.556
0.754 0.468 0.213
0.787 0.936 0.246
0.797 0.160 0.428
0.840 0.203 0.884
0.884 0.572 0.840
0.936 0.787 0.532
```

Summary:
Its calculated density is 3.69 g cm⁻³. Its crystal system is orthorhombic. The space group is No. 70. Its final energy is -6.652 eV per atom. The spin magnetization is 7.99 μB/f.u.